Density functional theory data (PBE-GGA) for TbPrZnIn after structural relaxation.

Cell lengths 3.714, 3.714, 7.630 Å; angles 90.00, 90.00, 90.00 degrees
Fractional coordinates of all 4 atoms:
1 Tb 0.000 0.000 0.000
2 Pr 0.000 0.000 0.462
3 Zn 0.500 0.500 0.211
4 In 0.500 0.500 0.744

Calculated values
The value obtained for the energy of formation is -1.63 eV per formula unit. The calculation puts the total energy at -3.76 eV/atom. As for the crystal system: tetragonal. The value obtained for the excess energy over the best structure of this formula in the dataset is 0.0 meV/atom. As for the magnetization: 0.00 μB/cell. As for the space group: P4mm.